The following is a GGA-PBE calculation of a relaxed Ac2La3Te8 crystal, from Alexandria.

## Properties
The value obtained for the volume is 43.80 A^3/atom. Its total magnetization is 0.00 μB per formula unit. The crystal system is monoclinic. The formation energy from raw total energies comes out at -1409 meV per atom.

The structure in CIF format:
```
data_Ac2La3Te8
_chemical_formula_sum 'Ac4 La6 Te16'
_space_group_name_H-M_alt 'C 1 2/m 1'
_space_group_IT_number 12
_cell_length_a 16.181
_cell_length_b 9.406
_cell_length_c 7.934
_cell_angle_alpha 90.00
_cell_angle_beta 109.42
_cell_angle_gamma 90.00
loop_
_space_group_symop_operation_xyz
'x,y,z'
'-x,-y,-z'
'-x,y,-z'
'x,-y,z'
'x+1/2,y+1/2,z'
'-x+1/2,-y+1/2,-z'
'-x+1/2,y+1/2,-z'
'x+1/2,-y+1/2,z'
loop_
_atom_site_label
_atom_site_type_symbol
_atom_site_fract_x
_atom_site_fract_y
_atom_site_fract_z
Ac1 Ac 0.239 0.000 0.158
La1 La 0.000 0.238 0.500
La2 La 0.000 0.500 0.000
Te1 Te 0.116 0.500 0.424
Te2 Te 0.120 0.263 0.912
Te3 Te 0.127 0.000 0.436
```

=====

The following is a GGA-PBE calculation of a relaxed MgCo2Cu crystal, from Alexandria.

## Properties
The value obtained for the volume is 12.77 A^3/atom. Its total magnetization is 2.93 μB per formula unit. The crystal system is monoclinic. Its formation energy from the elements is 18 kJ/mol of atoms.

The structure in CIF format:
```
data_MgCo2Cu
_chemical_formula_sum 'Mg1 Co2 Cu1'
_space_group_name_H-M_alt 'P 1 2/m 1'
_space_group_IT_number 10
_cell_length_a 2.579
_cell_length_b 4.311
_cell_length_c 4.631
_cell_angle_alpha 90.00
_cell_angle_beta 97.35
_cell_angle_gamma 90.00
loop_
_space_group_symop_operation_xyz
'x,y,z'
'-x,-y,-z'
'-x,y,-z'
'x,-y,z'
loop_
_atom_site_label
_atom_site_type_symbol
_atom_site_fract_x
_atom_site_fract_y
_atom_site_fract_z
Mg1 Mg 0.000 0.000 0.000
Co1 Co 0.297 0.500 0.741
Cu1 Cu 0.500 0.000 0.500
```

=====

The following is a GGA-PBE calculation of a relaxed HfZn3Co crystal, from Alexandria.

## Properties
The value obtained for the volume is 27.34 A^3/atom. Its total magnetization is 1.65 μB per formula unit. The crystal system is cubic. Its formation energy from the elements is 147 kJ/mol of atoms.

The structure in CIF format:
```
data_HfZn3Co
_chemical_formula_sum 'Hf1 Zn3 Co1'
_space_group_name_H-M_alt 'P m -3 m'
_space_group_IT_number 221
_space_group_name_Hall '-P 4 2 3'
_cell_length_a 5.151
_cell_length_b 5.151
_cell_length_c 5.151
_cell_angle_alpha 90.00
_cell_angle_beta 90.00
_cell_angle_gamma 90.00
loop_
_atom_site_label
_atom_site_type_symbol
_atom_site_fract_x
_atom_site_fract_y
_atom_site_fract_z
Hf1 Hf 0.000 0.000 0.000
Zn1 Zn 0.000 0.000 0.500
Co1 Co 0.500 0.500 0.500
```

=====

The following is a GGA-PBE calculation of a relaxed TaTlCl2 crystal, from Alexandria.

## Properties
The value obtained for the volume is 22.42 A^3/atom. Its total magnetization is 2.84 μB per formula unit. The crystal system is tetragonal. The formation energy from raw total energies comes out at 530 meV per atom.

The structure in CIF format:
```
data_TaTlCl2
_chemical_formula_sum 'Ta1 Tl1 Cl2'
_space_group_name_H-M_alt 'P 4/m m m'
_space_group_IT_number 123
_space_group_name_Hall '-P 4 2'
_cell_length_a 4.617
_cell_length_b 4.617
_cell_length_c 4.207
_cell_angle_alpha 90.00
_cell_angle_beta 90.00
_cell_angle_gamma 90.00
loop_
_atom_site_label
_atom_site_type_symbol
_atom_site_fract_x
_atom_site_fract_y
_atom_site_fract_z
Ta1 Ta 0.000 0.000 0.000
Tl1 Tl 0.500 0.500 0.000
Cl1 Cl 0.000 0.500 0.500
```

=====

The following is a GGA-PBE calculation of a relaxed K2HF3 crystal, from Alexandria.

## Properties
The value obtained for the volume is 19.42 A^3/atom. Its total magnetization is 0.11 μB per formula unit. For the total DFT energy (no corrections), the calculation gives -4.24 eV per atom. The crystal system is monoclinic.

The structure in CIF format:
```
data_K2HF3
_chemical_formula_sum 'K4 H2 F6'
_space_group_name_H-M_alt 'P 1 21/m 1'
_space_group_IT_number 11
_cell_length_a 4.969
_cell_length_b 7.093
_cell_length_c 6.970
_cell_angle_alpha 90.00
_cell_angle_beta 108.40
_cell_angle_gamma 90.00
loop_
_space_group_symop_operation_xyz
'x,y,z'
'-x,-y,-z'
'-x,y+1/2,-z'
'x,-y+1/2,z'
loop_
_atom_site_label
_atom_site_type_symbol
_atom_site_fract_x
_atom_site_fract_y
_atom_site_fract_z
K1 K 0.048 0.000 0.249
H1 H 0.499 0.250 0.999
F1 F 0.006 0.750 0.501
F2 F 0.295 0.250 0.044
F3 F 0.298 0.750 0.046
```

=====

The following is a GGA-PBE calculation of a relaxed Pr2Cu5AgPd2 crystal, from Alexandria.

## Properties
The value obtained for the volume is 18.05 A^3/atom. Its total magnetization is 0.00 μB per formula unit. The crystal system is tetragonal. Its formation energy from the elements is -19 kJ/mol of atoms.

The structure in CIF format:
```
data_Pr2Cu5AgPd2
_chemical_formula_sum 'Pr4 Cu10 Ag2 Pd4'
_space_group_name_H-M_alt 'P 4/m b m'
_space_group_IT_number 127
_space_group_name_Hall '-P 4 2ab'
_cell_length_a 9.643
_cell_length_b 9.643
_cell_length_c 3.882
_cell_angle_alpha 90.00
_cell_angle_beta 90.00
_cell_angle_gamma 90.00
loop_
_atom_site_label
_atom_site_type_symbol
_atom_site_fract_x
_atom_site_fract_y
_atom_site_fract_z
Pr1 Pr 0.180 0.320 0.000
Cu1 Cu 0.000 0.500 0.500
Cu2 Cu 0.051 0.805 0.500
Ag1 Ag 0.000 0.000 0.000
Pd1 Pd 0.120 0.620 0.000
```

=====

The following is a GGA-PBE calculation of a relaxed La2IrOsC crystal, from Alexandria.

## Properties
The value obtained for the volume is 21.24 A^3/atom. Its total magnetization is 0.00 μB per formula unit. The crystal system is tetragonal. Its formation energy from the elements is -17 kJ/mol of atoms.

The structure in CIF format:
```
data_La2IrOsC
_chemical_formula_sum 'La2 Ir1 Os1 C1'
_space_group_name_H-M_alt 'P 4/m m m'
_space_group_IT_number 123
_space_group_name_Hall '-P 4 2'
_cell_length_a 5.228
_cell_length_b 5.228
_cell_length_c 3.885
_cell_angle_alpha 90.00
_cell_angle_beta 90.00
_cell_angle_gamma 90.00
loop_
_atom_site_label
_atom_site_type_symbol
_atom_site_fract_x
_atom_site_fract_y
_atom_site_fract_z
La1 La 0.000 0.500 0.000
Ir1 Ir 0.000 0.000 0.500
Os1 Os 0.500 0.500 0.500
C1 C 0.500 0.500 0.000
```

=====

The following is a GGA-PBE calculation of a relaxed Tl2PF crystal, from Alexandria.

## Properties
The value obtained for the volume is 28.18 A^3/atom. Its total magnetization is 0.00 μB per formula unit. The crystal system is tetragonal. The formation energy from raw total energies comes out at -454 meV per atom.

The structure in CIF format:
```
data_Tl2PF
_chemical_formula_sum 'Tl8 P4 F4'
_space_group_name_H-M_alt 'I -4 2 d'
_space_group_IT_number 122
_space_group_name_Hall 'I -4 2bw'
_cell_length_a 5.686
_cell_length_b 5.686
_cell_length_c 13.945
_cell_angle_alpha 90.00
_cell_angle_beta 90.00
_cell_angle_gamma 90.00
loop_
_atom_site_label
_atom_site_type_symbol
_atom_site_fract_x
_atom_site_fract_y
_atom_site_fract_z
Tl1 Tl 0.221 0.250 0.125
P1 P 0.000 0.000 0.500
F1 F 0.000 0.000 0.000
```

=====

The following is a GGA-PBE calculation of a relaxed Mg16Al12Ga crystal, from Alexandria.

## Properties
The value obtained for the volume is 19.94 A^3/atom. Its total magnetization is 0.00 μB per formula unit. The crystal system is monoclinic. Its formation energy from the elements is -3 kJ/mol of atoms.

The structure in CIF format:
```
data_Mg16Al12Ga
_chemical_formula_sum 'Mg32 Al24 Ga2'
_space_group_name_H-M_alt 'C 1 m 1'
_space_group_IT_number 8
_cell_length_a 10.495
_cell_length_b 14.826
_cell_length_c 9.036
_cell_angle_alpha 90.00
_cell_angle_beta 124.67
_cell_angle_gamma 90.00
loop_
_space_group_symop_operation_xyz
'x,y,z'
'x,-y,z'
'x+1/2,y+1/2,z'
'x+1/2,-y+1/2,z'
loop_
_atom_site_label
_atom_site_type_symbol
_atom_site_fract_x
_atom_site_fract_y
_atom_site_fract_z
Mg1 Mg 0.000 0.000 0.000
Mg2 Mg 0.006 0.000 0.351
Mg3 Mg 0.057 0.345 0.401
Mg4 Mg 0.145 0.500 0.666
Mg5 Mg 0.157 0.159 0.601
Mg6 Mg 0.174 0.174 0.997
Mg7 Mg 0.189 0.500 0.291
Mg8 Mg 0.301 0.298 0.320
Mg9 Mg 0.461 0.137 0.998
Mg10 Mg 0.487 0.193 0.688
Al1 Al 0.006 0.186 0.190
Al2 Al 0.183 0.000 0.812
Al3 Al 0.233 0.409 0.011
Al4 Al 0.274 0.093 0.364
Al5 Al 0.320 0.315 0.820
Al6 Al 0.366 0.000 0.176
Al7 Al 0.407 0.407 0.636
Ga1 Ga 0.373 0.000 0.690
```

=====

The following is a GGA-PBE calculation of a relaxed TmIn2Co crystal, from Alexandria.

## Properties
The value obtained for the volume is 20.16 A^3/atom. Its total magnetization is 1.17 μB per formula unit. The crystal system is tetragonal. Its formation energy from the elements is -10 kJ/mol of atoms.

The structure in CIF format:
```
data_TmIn2Co
_chemical_formula_sum 'Tm1 In2 Co1'
_space_group_name_H-M_alt 'P 4/m m m'
_space_group_IT_number 123
_space_group_name_Hall '-P 4 2'
_cell_length_a 3.277
_cell_length_b 3.277
_cell_length_c 7.509
_cell_angle_alpha 90.00
_cell_angle_beta 90.00
_cell_angle_gamma 90.00
loop_
_atom_site_label
_atom_site_type_symbol
_atom_site_fract_x
_atom_site_fract_y
_atom_site_fract_z
Tm1 Tm 0.000 0.000 0.000
In1 In 0.500 0.500 0.300
Co1 Co 0.000 0.000 0.500
```

=====

Please write out number 10 again, unchanged.
The following is a GGA-PBE calculation of a relaxed TmIn2Co crystal, from Alexandria.

## Properties
The value obtained for the volume is 20.16 A^3/atom. Its total magnetization is 1.17 μB per formula unit. The crystal system is tetragonal. Its formation energy from the elements is -10 kJ/mol of atoms.

The structure in CIF format:
```
data_TmIn2Co
_chemical_formula_sum 'Tm1 In2 Co1'
_space_group_name_H-M_alt 'P 4/m m m'
_space_group_IT_number 123
_space_group_name_Hall '-P 4 2'
_cell_length_a 3.277
_cell_length_b 3.277
_cell_length_c 7.509
_cell_angle_alpha 90.00
_cell_angle_beta 90.00
_cell_angle_gamma 90.00
loop_
_atom_site_label
_atom_site_type_symbol
_atom_site_fract_x
_atom_site_fract_y
_atom_site_fract_z
Tm1 Tm 0.000 0.000 0.000
In1 In 0.500 0.500 0.300
Co1 Co 0.000 0.000 0.500
```

=====

Question: What is the volume in the sixth record?
Answer: 18.05 A^3/atom